[1]
The following is a PBE-GGA calculation of crystalline LaTaSb at its relaxed geometry, from Alexandria via LeMat-Bulk.

Geometry as POSCAR:
```
LaTaSb
1.0
3.399 0.000 0.000
-1.700 2.944 0.000
0.000 0.000 7.626
Sb Ta La
1 1 1
Direct
0.667 0.333 0.368
0.333 0.667 0.646
0.000 0.000 0.986
```

Its formation energy without anion corrections is 177.5 meV per atom. The total magnetization is 0.00 μB/cell. The value obtained for the electronic total energy is -6.79 eV/atom.


[2]
The following is a PBE-GGA calculation of crystalline BeCr2Ag at its relaxed geometry, from Alexandria via LeMat-Bulk.

Geometry as POSCAR:
```
BeCr2Ag
1.0
-1.158 -1.523 1.722
1.311 -1.427 -1.694
6.512 0.381 4.717
Cr Be Ag
2 1 1
Direct
0.000 0.000 0.994
0.500 0.500 0.220
0.500 0.500 0.768
0.000 0.000 0.518
```

For the formation energy, the calculation gives 0.326 eV per atom. The total magnetization is 0.00 μB/cell. The value obtained for the electronic total energy is -6.13 eV/atom.


[3]
The following is a PBE-GGA calculation of crystalline CsTlInBi at its relaxed geometry, from Alexandria via LeMat-Bulk.

Geometry as POSCAR:
```
CsTlInBi
1.0
4.995 0.000 0.000
0.000 4.995 0.000
0.000 0.000 14.571
Cs Bi In Tl
2 2 2 2
Direct
0.750 0.750 0.258
0.250 0.250 0.742
0.250 0.250 0.123
0.750 0.750 0.877
0.750 0.250 0.000
0.250 0.750 0.000
0.750 0.250 0.500
0.250 0.750 0.500
```

For the formation energy, the calculation gives -0.125 eV per atom. The total magnetization is 0.00 μB/cell. The value obtained for the electronic total energy is -2.58 eV/atom.


no.,theoretical density (g/cm3)
1,9.61
2,7.31
3,6.04